Entry from the Alexandria database: a geometry-optimized Dy5PuPb5 structure (PBE).

The structure in POSCAR format:
```
Dy5PuPb5
1.0
7.0322 -3.1249 0.0000
7.0322 3.1249 0.0000
-2.6929 0.0000 8.3042
Dy Pu Pb
5 1 5
direct
0.0000 0.0000 0.0000 Dy
0.3329 0.3329 0.6702 Dy
0.3350 0.3350 0.1629 Dy
0.6650 0.6650 0.8371 Dy
0.6671 0.6671 0.3298 Dy
0.0000 0.0000 0.5000 Pu
0.1652 0.1652 0.3299 Pb
0.1648 0.1648 0.8355 Pb
0.5000 0.5000 0.5000 Pb
0.8352 0.8352 0.1645 Pb
0.8348 0.8348 0.6701 Pb
```

## Properties
Space group ... C2/m
Magnetic moment ... 5.9 μB/cell
Energy of formation from the pure elements ... -0.1527 eV per atom
N(E_F) ... 17.724 states/eV/cell
V ... 33.2 Å³ per atom